(1)
This record from the Alexandria database describes crystalline AlVOF2 at its relaxed geometry. The functional is GGA+U.

```
AlVOF2
1.0
3.872 0.000 0.000
0.000 3.872 0.000
0.000 0.000 3.680
Al V O F
1 1 1 2
direct
0.000 0.000 0.000
0.500 0.500 0.500
0.000 0.000 0.500
0.000 0.500 0.000
0.500 0.000 0.000
```

Calculated values
* calculated total energy: -5.974 eV per atom
* M_tot: 4.0 μB/cell
* Fermi-level density of states: 1.2 states/eV/cell

(2)
This record from the Alexandria database describes crystalline AlVOF2 at its relaxed geometry. The functional is GGA+U.

```
AlVOF2
1.0
4.201 0.000 0.000
0.000 4.201 0.000
0.000 0.000 3.817
Al V O F
1 1 1 2
direct
0.000 0.000 0.000
0.500 0.500 0.500
0.500 0.500 0.000
0.000 0.500 0.500
0.500 0.000 0.500
```

Calculated values
* calculated total energy: -5.755 eV per atom
* M_tot: 2.0 μB/cell
* Fermi-level density of states: 0.8 states/eV/cell

(3)
This record from the Alexandria database describes crystalline AlVO2F at its relaxed geometry. The functional is GGA+U.

```
AlVO2F
1.0
3.893 0.000 0.000
0.000 3.893 0.000
0.000 0.000 4.006
Al V O F
1 1 2 1
direct
0.000 0.000 0.000
0.500 0.500 0.500
0.000 0.500 0.500
0.500 0.000 0.500
0.500 0.500 0.000
```

Calculated values
* calculated total energy: -6.121 eV per atom
* M_tot: 1.3 μB/cell
* Fermi-level density of states: 1.8 states/eV/cell

(4)
This record from the Alexandria database describes crystalline AlWO2F at its relaxed geometry. The functional is GGA+U.

```
AlWO2F
1.0
3.843 0.000 0.000
0.000 3.843 0.000
0.000 0.000 3.676
Al W O F
1 1 2 1
direct
0.000 0.000 0.000
0.500 0.500 0.500
0.000 0.500 0.000
0.500 0.000 0.000
0.000 0.000 0.500
```

Calculated values
* calculated total energy: -6.133 eV per atom
* M_tot: 4.0 μB/cell
* Fermi-level density of states: 1.4 states/eV/cell

(5)
This record from the Alexandria database describes crystalline AlWO2F at its relaxed geometry. The functional is GGA+U.

```
AlWO2F
1.0
4.082 0.000 0.000
0.000 4.082 0.000
0.000 0.000 4.299
Al W O F
1 1 2 1
direct
0.000 0.000 0.000
0.500 0.500 0.500
0.000 0.500 0.500
0.500 0.000 0.500
0.500 0.500 0.000
```

Calculated values
* calculated total energy: -5.976 eV per atom
* M_tot: 2.0 μB/cell
* Fermi-level density of states: 0.1 states/eV/cell